VASP calculation (PBE-GGA) on an optimized crystal structure of Al2IrOs.

The structure in POSCAR format:
```
Al2IrOs
1.0
4.268 0.000 0.000
0.000 4.268 0.000
0.000 0.000 3.012
Al Ir Os
2 1 1
direct
0.000 0.500 0.000 Al
0.500 0.000 0.000 Al
0.000 0.000 0.500 Ir
0.500 0.500 0.500 Os
```

Computed properties:
ΔE to the lowest computed polymorph ... 3.8 meV/atom


VASP calculation (PBE-GGA) on an optimized crystal structure of DyYSi.

The structure in POSCAR format:
```
DyYSi
1.0
0.000 3.426 3.426
3.426 0.000 3.426
3.426 3.426 0.000
Dy Y Si
1 1 1
direct
0.000 0.000 0.000 Dy
0.500 0.500 0.500 Y
0.250 0.250 0.250 Si
```

Computed properties:
ΔE to the lowest computed polymorph ... 0.0 meV/atom


VASP calculation (PBE-GGA) on an optimized crystal structure of NaTbNiTe3.

The structure in POSCAR format:
```
NaTbNiTe3
1.0
8.789 -2.200 0.000
8.789 2.200 0.000
-2.384 0.000 8.620
Na Tb Ni Te
2 2 2 6
direct
0.135 0.135 0.068 Na
0.865 0.865 0.932 Na
0.175 0.175 0.600 Tb
0.825 0.825 0.400 Tb
0.493 0.493 0.321 Ni
0.507 0.507 0.679 Ni
0.000 0.000 0.500 Te
0.342 0.342 0.176 Te
0.354 0.354 0.656 Te
0.500 0.500 0.000 Te
0.646 0.646 0.344 Te
0.658 0.658 0.824 Te
```

Computed properties:
ΔE to the lowest computed polymorph ... 124.1 meV/atom


Asked for total magnetization across the records above, the calculation gives 0.0, 0.0, 0.0 μB per formula unit in order.
Asked for raw total energy across the records above, the calculation gives -7.598, -5.982, -4.205 eV per atom in order.